No. 1
Density functional theory data (PBE) for a relaxed Y3PPb crystal.

Summary:
**Formation energy from the elements**: -0.854 eV/atom
**ΔE to the lowest computed polymorph**: 0.301 eV per formula unit

abc: 3.9382 5.4321 12.8389
angles: 90.00 90.00 90.00
Sites, in units of the cell vectors:
Y 0.2500 0.2500 0.0297
Y 0.2500 0.7500 0.4345
Y 0.2500 0.7500 0.7388
Y 0.7500 0.2500 0.2612
Y 0.7500 0.2500 0.5655
Y 0.7500 0.7500 0.9703
P 0.2500 0.2500 0.4150
P 0.7500 0.7500 0.5850
Pb 0.2500 0.7500 0.1802
Pb 0.7500 0.2500 0.8198

***

No. 2
Density functional theory data (PBE) for a relaxed Y3PPb crystal.

Summary:
**Formation energy from the elements**: -0.841 eV/atom
**ΔE to the lowest computed polymorph**: 0.368 eV per formula unit

abc: 12.2407 12.2407 12.2407
angles: 161.94 150.87 34.49
Sites, in units of the cell vectors:
Y 0.1251 0.1251 0.0000
Y 0.2476 0.5000 0.7476
Y 0.2916 0.2916 0.0000
Y 0.7084 0.7084 0.0000
Y 0.7524 0.5000 0.2524
Y 0.8749 0.8749 0.0000
P 0.2082 0.7082 0.5000
P 0.7918 0.2918 0.5000
Pb 0.4058 0.9058 0.5000
Pb 0.5942 0.0942 0.5000

***

No. 3
Density functional theory data (PBE) for a relaxed YP2Pb crystal.

Summary:
**Formation energy from the elements**: -0.583 eV/atom

abc: 4.0562 4.0562 7.2701
angles: 106.24 106.24 60.11
Sites, in units of the cell vectors:
Y 0.0000 0.0000 0.0000
P 0.2567 0.2567 0.7698
P 0.7433 0.7433 0.2302
Pb 0.5000 0.5000 0.5000

***

No. 4
Density functional theory data (PBE) for a relaxed YPPb crystal.

Summary:
**Formation energy from the elements**: -0.681 eV/atom
**ΔE to the lowest computed polymorph**: 0.000 eV per formula unit

abc: 6.3722 6.3722 6.3722
angles: 144.94 144.94 50.43
Sites, in units of the cell vectors:
Y 0.0000 0.0000 0.0000
P 0.5374 0.5374 0.0000
Pb 0.2976 0.2976 0.0000

***

No. 5
Density functional theory data (PBE) for a relaxed YPPb crystal.

Summary:
**Formation energy from the elements**: -0.060 eV/atom
**ΔE to the lowest computed polymorph**: 1.862 eV per formula unit

abc: 4.9438 4.9438 4.9438
angles: 60.00 60.00 60.00
Sites, in units of the cell vectors:
Y 0.0000 0.0000 0.0000
P 0.2500 0.2500 0.2500
Pb 0.7500 0.7500 0.7500

***

No. 6
Density functional theory data (PBE) for a relaxed Y3PPb crystal.

Summary:
**Formation energy from the elements**: -0.326 eV/atom
**ΔE to the lowest computed polymorph**: 2.940 eV per formula unit

abc: 10.4749 10.4749 10.4749
angles: 146.95 146.95 47.44
Sites, in units of the cell vectors:
Y 0.2204 0.2204 0.0000
Y 0.3699 0.6177 0.7522
Y 0.3823 0.1345 0.7522
Y 0.3823 0.6301 0.2478
Y 0.7796 0.7796 0.0000
Y 0.8655 0.6177 0.2478
P 0.2500 0.7500 0.5000
P 0.5000 0.5000 0.0000
Pb 0.6613 0.1613 0.5000
Pb 0.8387 0.3387 0.5000

***

No. 7
Density functional theory data (PBE) for a relaxed YPPb2 crystal.

Summary:
**Formation energy from the elements**: -0.099 eV/atom

abc: 4.2635 4.2635 5.8808
angles: 90.00 90.00 90.00
Sites, in units of the cell vectors:
Y 0.0000 0.0000 0.0000
P 0.0000 0.0000 0.5000
Pb 0.5000 0.5000 0.2520
Pb 0.5000 0.5000 0.7480

***

No. 8
Density functional theory data (PBE) for a relaxed YP2Pb crystal.

Summary:
**Formation energy from the elements**: -0.585 eV/atom

abc: 3.7107 3.8353 6.8891
angles: 90.00 90.40 90.00
Sites, in units of the cell vectors:
Y 0.0000 0.0000 0.0000
P 0.4969 0.5000 0.8333
P 0.5031 0.5000 0.1667
Pb 0.5000 0.0000 0.5000